Entry 1:
UMnCoOs: optimized geometry, PBE.

Properties
* raw total energy: -152.778 eV/cell
* V: 15.78 A^3/atom
* calculated formation energy: 0.150 eV per atom

Cell: 6.3209 6.3209 6.3209 Å, 90.00 90.00 90.00°
Closest atoms and distances in Å follow each position.
Space group F-43m (No. 216)
Unique sites:
U1 0.0000 0.0000 0.0000  4 Os 2.74, 4 Co 2.74
Mn1 0.0000 0.0000 0.5000  4 Co 2.74, 4 Os 2.74
Co1 0.2500 0.2500 0.7500  4 Mn 2.74, 4 U 2.74
Os1 0.2500 0.2500 0.2500  4 Mn 2.74, 4 U 2.74

***

Entry 2:
ZrMnCoOs: optimized geometry, PBE.

Properties
* raw total energy: -145.273 eV/cell
* V: 15.13 A^3/atom
* calculated formation energy: -0.066 eV per atom

Cell: 6.2323 6.2323 6.2323 Å, 90.00 90.00 90.00°
Closest atoms and distances in Å follow each position.
Space group F-43m (No. 216)
Unique sites:
Zr1 0.0000 0.0000 0.0000  4 Os 2.70, 4 Co 2.70
Mn1 0.0000 0.0000 0.5000  4 Co 2.70, 4 Os 2.70
Co1 0.2500 0.2500 0.2500  4 Zr 2.70, 4 Mn 2.70
Os1 0.2500 0.2500 0.7500  4 Zr 2.70, 4 Mn 2.70

***

Entry 3:
MnCoP6: optimized geometry, PBE.

Properties
* raw total energy: -206.507 eV/cell
* V: 15.00 A^3/atom
* calculated formation energy: -0.362 eV per atom

Cell: 11.0170 7.7739 7.8572 Å, 90.00 134.49 90.00°
Closest atoms and distances in Å follow each position.
Space group C2/m (No. 12)
Unique sites:
Mn1 0.2500 0.2500 0.0000  6 P 2.29-2.32
Co1 0.2500 0.2500 0.5000  6 P 2.23-2.25
P1 0.0048 0.1445 0.3573  1 Co 2.23, 2 P 2.25-2.32, 1 Mn 2.32
P2 0.1418 0.5000 0.7832  2 P 2.25-2.31, 2 Mn 2.29
P3 0.1441 0.3507 0.1490  1 Co 2.25, 2 P 2.27-2.32, 1 Mn 2.29
P4 0.1527 0.5000 0.5072  2 Co 2.24, 2 P 2.25-2.31

***

Entry 4:
Mn2CoP2: optimized geometry, PBE.

Properties
* raw total energy: -75.801 eV/cell
* V: 11.57 A^3/atom
* calculated formation energy: -0.327 eV per atom

Cell: 5.8467 5.8467 3.3832 Å, 90.00 90.00 90.00°
Closest atoms and distances in Å follow each position.
Space group P4/mbm (No. 127)
Unique sites:
Mn1 0.1613 0.3387 0.0000  6 P 2.35-2.45
Co1 0.0000 0.0000 0.5000  4 P 2.26
P1 0.1409 0.6409 0.5000  2 Co 2.26, 1 P 2.33, 6 Mn 2.35-2.45

***

Entry 5:
MnCo3P: optimized geometry, PBE.

Properties
* energy above the most stable polymorph in this dataset: 533.9 kJ/mol of formula units
* raw total energy: -29.321 eV/cell
* V: 14.25 A^3/atom
* calculated formation energy: 1.315 eV per atom

Cell: 4.1461 4.1461 4.1461 Å, 90.00 90.00 90.00°
Closest atoms and distances in Å follow each position.
Space group Pm-3m (No. 221)
Unique sites:
Mn1 0.0000 0.0000 0.0000  6 Co 2.07
Co1 0.0000 0.0000 0.5000  2 Mn 2.07
P1 0.5000 0.5000 0.5000  12 Co 2.93

***

Entry 6:
MnCoP3: optimized geometry, PBE.

Properties
* raw total energy: -28.478 eV/cell
* V: 15.83 A^3/atom
* calculated formation energy: 0.805 eV per atom

Cell: 4.2935 4.2935 4.2935 Å, 90.00 90.00 90.00°
Closest atoms and distances in Å follow each position.
Space group Pm-3m (No. 221)
Unique sites:
Mn1 0.0000 0.0000 0.0000  6 P 2.15
Co1 0.5000 0.5000 0.5000  12 P 3.04
P1 0.0000 0.0000 0.5000  2 Mn 2.15

***

> Number 5 is which compound?

MnCo3P